This record from Alexandria via LeMat-Bulk describes a relaxed structure of Tb2TmAs3. The functional is GGA-PBE.

```
Tb2TmAs3
1.0
-2.0570 2.0570 8.7277
2.0570 -2.0570 8.7277
2.0570 2.0570 -8.7277
Tb Tm As
2 1 3
direct
0.1666 0.1666 0.0000 Tb
0.8334 0.8334 0.0000 Tb
0.5000 0.5000 0.0000 Tm
0.0000 0.0000 0.0000 As
0.3346 0.3346 0.0000 As
0.6654 0.6654 0.0000 As
```

Properties
Energy relative to the elements in meV per atom: -1527
Total magnetic moment in μB/f.u.: 0.000

This record from Alexandria via LeMat-Bulk describes a relaxed structure of TbTmAs2. The functional is GGA-PBE.

```
TbTmAs2
1.0
2.0515 1.1844 6.6913
-2.0515 1.1844 6.6913
0.0000 -2.3688 6.6913
Tb Tm As
1 1 2
direct
0.0000 0.0000 0.0000 Tb
0.5000 0.5000 0.5000 Tm
0.2484 0.2484 0.2484 As
0.7516 0.7516 0.7516 As
```

Properties
Energy relative to the elements in meV per atom: -1523
Excess energy over the best structure of this formula in the dataset in eV per atom: 0.000
Total magnetic moment in μB/f.u.: 0.000